[1]
A relaxed KHg2C2O6 crystal, computed with PBE.

formation energy without anion corrections	-12.02	eV per formula unit

Lattice parameters (Å, degrees): 5.396 7.584 5.762 99.89 69.99 63.64
Element x y z (fractional)
O  0.047  0.295  0.020
O  0.038  0.278  0.406
Hg  0.325  0.433  0.147
C  0.081  0.728  0.758
O  0.689  0.246  0.299
K  0.500  0.000  0.500
Hg  0.675  0.567  0.853
O  0.311  0.754  0.701
O  0.962  0.722  0.594
C  0.919  0.272  0.242
O  0.953  0.705  0.980

[2]
A relaxed K2HgCO4 crystal, computed with PBE.

formation energy without anion corrections	-8.48	eV per formula unit

Lattice parameters (Å, degrees): 7.589 7.589 7.842 107.47 107.47 111.92
Element x y z (fractional)
O  0.199  0.813  0.604
O  0.619  0.657  0.506
Hg  0.000  0.500  0.000
K  0.500  0.000  0.500
K  0.500  0.000  0.000
O  0.157  0.119  0.006
O  0.381  0.343  0.494
K  0.500  0.500  0.000
C  0.000  0.000  0.000
O  0.801  0.187  0.396
O  0.313  0.699  0.104
O  0.687  0.301  0.896
O  0.843  0.881  0.994
Hg  0.000  0.500  0.500
K  0.000  0.000  0.500
C  0.500  0.500  0.500

[3]
A relaxed K3HgC2O6 crystal, computed with PBE.

formation energy without anion corrections	-17.23	eV per formula unit

Lattice parameters (Å, degrees): 5.723 5.723 7.397 90.00 90.00 120.00
Element x y z (fractional)
O  0.202  0.403  0.244
C  0.667  0.333  0.754
O  0.202  0.798  0.244
O  0.403  0.202  0.756
K  0.667  0.333  0.267
O  0.798  0.597  0.756
Hg  0.000  0.000  0.500
K  0.000  0.000  0.000
C  0.333  0.667  0.246
O  0.597  0.798  0.244
O  0.798  0.202  0.756
K  0.333  0.667  0.733

[4]
A relaxed K2HgPdC crystal, computed with PBE.

ΔH_f (0 K)	1.270	eV per atom

Lattice parameters (Å, degrees): 6.481 5.127 6.481 90.00 90.00 90.00
Last column: magnetic moment on the atom in μB.
Element x y z (fractional)
Hg  0.000  0.000  0.000  -0.01
K  0.500  0.000  0.000  0.01
Pd  0.000  0.500  0.000  0.03
K  0.000  0.000  0.500  0.01
C  0.500  0.500  0.500  1.11

[5]
A relaxed K2HgCS crystal, computed with PBE.

formation energy without anion corrections	3.42	eV per formula unit

Lattice parameters (Å, degrees): 6.103 5.152 6.103 90.00 90.00 90.00
Last column: magnetic moment on the atom in μB.
Element x y z (fractional)
S  0.000  0.000  0.000  0.01
C  0.500  0.500  0.500  1.14
Hg  0.000  0.500  0.000  0.00
K  0.500  0.000  0.000  0.01
K  0.000  0.000  0.500  0.01

[6]
A relaxed KHgWC2 crystal, computed with PBE.

ΔH_f (0 K)	3.963	eV per atom

Lattice parameters (Å, degrees): 4.267 5.216 4.267 90.00 90.00 90.00
Element x y z (fractional)
C  0.000  0.000  0.500
C  0.500  0.000  0.000
Hg  0.000  0.500  0.000
W  0.500  0.500  0.500
K  0.000  0.000  0.000

[7]
A relaxed KY2HgC crystal, computed with PBE.

ΔH_f (0 K)	0.329	eV per atom

Lattice parameters (Å, degrees): 4.891 5.954 4.891 90.00 90.00 90.00
Element x y z (fractional)
K  0.500  0.500  0.500
Y  0.000  0.000  0.500
Y  0.500  0.000  0.000
C  0.000  0.000  0.000
Hg  0.000  0.500  0.000

[8]
A relaxed KYHg2C crystal, computed with PBE.

ΔH_f (0 K)	1.017	eV per atom

Lattice parameters (Å, degrees): 4.859 5.157 4.859 90.00 90.00 90.00
Element x y z (fractional)
Y  0.500  0.500  0.500
C  0.000  0.000  0.000
Hg  0.000  0.000  0.500
K  0.000  0.500  0.000
Hg  0.500  0.000  0.000

[9]
A relaxed La7Hg3C2 crystal, computed with PBE.

ΔH_f (0 K)	-0.287	eV per atom

Lattice parameters (Å, degrees): 5.194 5.175 12.842 101.62 90.00 90.00
Element x y z (fractional)
La  0.000  0.205  0.410
La  0.000  0.000  0.000
La  0.000  0.795  0.590
Hg  0.500  0.301  0.601
Hg  0.500  0.500  0.000
La  0.500  0.105  0.209
La  0.000  0.598  0.196
La  0.000  0.402  0.804
C  0.000  0.109  0.218
Hg  0.500  0.699  0.399
C  0.000  0.891  0.782
La  0.500  0.895  0.791

[10]
A relaxed La3HgC crystal, computed with PBE.

ΔH_f (0 K)	-0.231	eV per atom
energy above the lowest structure with this stoichiometry	0.0493	eV per atom

Lattice parameters (Å, degrees): 5.213 5.213 5.213 90.00 90.00 90.00
Element x y z (fractional)
C  0.000  0.000  0.000
La  0.000  0.500  0.000
La  0.500  0.000  0.000
La  0.000  0.000  0.500
Hg  0.500  0.500  0.500

[11]
A relaxed La4HgC2 crystal, computed with PBE.

ΔH_f (0 K)	-0.055	eV per atom

Lattice parameters (Å, degrees): 7.919 7.922 7.922 74.86 68.30 111.68
Element x y z (fractional)
La  0.323  0.213  0.109
C  0.248  0.373  0.375
La  0.825  0.643  0.537
C  0.752  0.377  0.875
La  0.178  0.537  0.640
La  0.822  0.182  0.641
Hg  0.000  0.000  0.000
C  0.752  0.375  0.373
La  0.680  0.112  0.213
La  0.320  0.107  0.568
Hg  0.500  0.750  0.750
La  0.175  0.639  0.182
La  0.677  0.568  0.109
C  0.248  0.875  0.377

[12]
A relaxed La3Hg2C crystal, computed with PBE.

ΔH_f (0 K)	-0.340	eV per atom

Lattice parameters (Å, degrees): 5.329 7.450 8.537 90.00 71.81 90.00
Element x y z (fractional)
Hg  0.300  0.750  0.398
La  0.886  0.500  0.228
C  0.000  0.250  0.000
La  0.114  0.000  0.772
La  0.500  0.250  0.000
Hg  0.700  0.250  0.602
La  0.886  0.000  0.228
La  0.500  0.750  0.000
Hg  0.699  0.750  0.602
Hg  0.301  0.250  0.398
La  0.114  0.500  0.772
C  0.000  0.750  0.000

[13]
A relaxed La5HgC crystal, computed with PBE.

ΔH_f (0 K)	-0.125	eV per atom

Lattice parameters (Å, degrees): 6.978 6.978 11.247 69.78 69.78 59.99
Element x y z (fractional)
La  0.355  0.056  0.374
La  0.422  0.802  0.964
La  0.578  0.198  0.036
La  0.198  0.578  0.536
La  0.802  0.422  0.464
La  0.944  0.645  0.126
La  0.029  0.971  0.750
La  0.645  0.944  0.626
La  0.056  0.355  0.874
Hg  0.489  0.511  0.250
La  0.971  0.029  0.250
C  0.000  0.000  0.500
C  0.000  0.000  0.000
Hg  0.511  0.489  0.750

[14]
A relaxed La4HgC crystal, computed with PBE.

ΔH_f (0 K)	-0.127	eV per atom
energy above the lowest structure with this stoichiometry	0.0453	eV per atom

Lattice parameters (Å, degrees): 6.677 8.731 7.485 54.32 81.75 75.76
Element x y z (fractional)
La  0.412  0.195  0.186
La  0.538  0.753  0.282
La  0.588  0.805  0.814
La  0.912  0.381  0.814
La  0.088  0.619  0.186
Hg  0.750  0.366  0.269
C  0.750  0.002  0.996
La  0.038  0.035  0.718
La  0.962  0.965  0.282
La  0.462  0.247  0.718
Hg  0.250  0.634  0.731
C  0.250  0.998  0.004

[15]
A relaxed LaHgC3 crystal, computed with PBE.

ΔH_f (0 K)	2.235	eV per atom
energy above the lowest structure with this stoichiometry	0.0000	eV per atom

Lattice parameters (Å, degrees): 4.343 4.343 4.343 90.00 90.00 90.00
Element x y z (fractional)
La  0.500  0.500  0.500
C  0.000  0.000  0.500
C  0.500  0.000  0.000
Hg  0.000  0.000  0.000
C  0.000  0.500  0.000

[16]
A relaxed La4Hg2C crystal, computed with PBE.

ΔH_f (0 K)	-0.340	eV per atom
energy above the lowest structure with this stoichiometry	0.0000	eV per atom

Lattice parameters (Å, degrees): 3.948 6.774 8.244 72.63 76.14 73.06
Element x y z (fractional)
La  0.917  0.838  0.329
C  0.000  0.000  0.000
La  0.647  0.750  0.957
Hg  0.637  0.386  0.340
La  0.353  0.250  0.043
Hg  0.363  0.614  0.660
La  0.083  0.162  0.671

[17]
A relaxed La4Hg2C crystal, computed with PBE.

ΔH_f (0 K)	-0.250	eV per atom
energy above the lowest structure with this stoichiometry	0.0900	eV per atom

Lattice parameters (Å, degrees): 6.821 6.977 9.727 90.00 110.66 90.00
Element x y z (fractional)
La  0.505  0.003  0.274
La  0.495  0.997  0.726
La  0.505  0.497  0.274
Hg  0.203  0.250  0.419
C  0.744  0.250  0.807
La  0.904  0.250  0.066
Hg  0.332  0.250  0.964
Hg  0.797  0.750  0.581
La  0.058  0.750  0.353
La  0.942  0.250  0.647
Hg  0.668  0.750  0.036
La  0.096  0.750  0.934
C  0.256  0.750  0.193
La  0.495  0.503  0.726

[18]
A relaxed La4HgC crystal, computed with PBE.

ΔH_f (0 K)	-0.172	eV per atom
energy above the lowest structure with this stoichiometry	0.0000	eV per atom

Lattice parameters (Å, degrees): 6.421 7.996 8.704 110.87 103.92 106.22
Element x y z (fractional)
La  0.697  0.070  0.399
Hg  0.366  0.616  0.231
C  0.827  0.077  0.154
La  0.414  0.737  0.905
La  0.202  0.329  0.399
Hg  0.634  0.384  0.769
La  0.798  0.671  0.601
La  0.303  0.930  0.601
C  0.173  0.923  0.846
La  0.009  0.832  0.095
La  0.991  0.168  0.905
La  0.586  0.263  0.095

[19]
A relaxed La12Hg3C5 crystal, computed with PBE.

ΔH_f (0 K)	-0.070	eV per atom

Lattice parameters (Å, degrees): 14.539 14.539 14.539 109.47 109.47 109.47
Element x y z (fractional)
Hg  0.375  0.750  0.625
C  0.250  0.375  0.625
C  0.000  0.500  0.000
La  0.596  0.613  0.413
La  0.016  0.613  0.700
La  0.317  0.516  0.404
La  0.016  0.404  0.817
La  0.317  0.800  0.413
La  0.887  0.587  0.904
La  0.404  0.387  0.587
La  0.113  0.700  0.516
La  0.200  0.683  0.087
La  0.484  0.800  0.887
La  0.613  0.596  0.913
La  0.817  0.904  0.016
La  0.087  0.183  0.200
La  0.596  0.984  0.683
Hg  0.250  0.625  0.875
La  0.087  0.904  0.387
La  0.200  0.516  0.613
La  0.516  0.317  0.904
C  0.375  0.125  0.750
Hg  0.625  0.375  0.750
C  0.500  0.000  0.000
Hg  0.125  0.250  0.875
La  0.904  0.817  0.516
La  0.913  0.096  0.613
C  0.250  0.875  0.125
La  0.683  0.484  0.596
La  0.096  0.183  0.484
La  0.413  0.300  0.317
La  0.700  0.113  0.016
La  0.183  0.087  0.700
C  0.000  0.000  0.000
La  0.096  0.913  0.113
La  0.984  0.596  0.183
C  0.000  0.500  0.500
C  0.000  0.000  0.500
C  0.875  0.250  0.625
La  0.300  0.413  0.817
C  0.625  0.875  0.250
C  0.875  0.625  0.750
La  0.913  0.817  0.800
Hg  0.750  0.375  0.125
La  0.516  0.200  0.113
C  0.500  0.000  0.500
La  0.817  0.913  0.300
C  0.500  0.500  0.500
Hg  0.750  0.875  0.625
La  0.484  0.683  0.096
La  0.587  0.700  0.683
La  0.800  0.317  0.913
La  0.113  0.413  0.096
C  0.750  0.625  0.375
Hg  0.250  0.125  0.375
La  0.300  0.887  0.984
C  0.625  0.750  0.875
La  0.413  0.113  0.596
C  0.500  0.500  0.000
La  0.613  0.016  0.200
La  0.984  0.387  0.300
La  0.387  0.984  0.800
C  0.125  0.375  0.250
La  0.700  0.587  0.183
La  0.683  0.200  0.587
La  0.387  0.404  0.087
La  0.183  0.096  0.984
Hg  0.375  0.625  0.250
C  0.375  0.250  0.125
La  0.587  0.887  0.404
La  0.887  0.300  0.484
La  0.904  0.087  0.887
La  0.404  0.016  0.317
La  0.800  0.484  0.387
C  0.125  0.750  0.375
C  0.750  0.125  0.875
Hg  0.875  0.125  0.250
Hg  0.625  0.250  0.375
Hg  0.125  0.875  0.750
Hg  0.875  0.750  0.125